DFT (PBEsol) results for crystalline BaSr3Zr4Se12 at its relaxed geometry.

```
BaSr3Zr4Se12
1.0
3.943 0.000 0.000
0.000 8.844 -0.006
0.000 -0.016 14.548
Sr Se Zr Ba
3 12 4 1
Direct
0.500 0.565 0.675
0.000 0.936 0.177
0.000 0.439 0.323
0.500 0.978 0.607
0.000 0.301 0.712
0.500 0.710 0.280
0.500 0.209 0.223
0.500 0.835 0.011
0.500 0.467 0.893
0.000 0.528 0.111
0.000 0.023 0.389
0.000 0.158 0.999
0.000 0.781 0.780
0.500 0.342 0.485
0.000 0.660 0.510
0.500 0.832 0.441
0.500 0.334 0.064
0.000 0.662 0.942
0.000 0.170 0.554
0.500 0.070 0.824
```

Values from the calculation:
Uncorrected energy in eV/cell: -122.9
Uncorrected formation energy in eV/f.u.: -32.69
Magnetization in μB/atom: 0.0000

=====

DFT (PBEsol) results for crystalline SrLiPb2 at its relaxed geometry.

```
SrLiPb2
1.0
-0.677 -1.196 4.583
-0.836 -4.569 -1.316
4.705 -0.987 0.438
Pb Li Sr
2 1 1
Direct
0.000 0.500 0.000
0.000 0.000 0.500
0.500 0.500 0.500
0.500 0.000 0.000
```

Values from the calculation:
Uncorrected energy in eV/cell: -13.4
Formation energy from the elements in kJ/mol of atoms: -37.5
Magnetization in μB/atom: 0.0001

=====

DFT (PBEsol) results for crystalline CaCoH2 at its relaxed geometry.

```
CaCoH2
1.0
3.933 0.000 0.000
1.967 3.406 0.000
1.967 1.135 3.212
Co H Ca
1 2 1
Direct
0.500 0.500 0.500
0.250 0.250 0.250
0.750 0.750 0.750
0.000 0.000 0.000
```

Values from the calculation:
Uncorrected energy in eV/cell: -15.0
Magnetization in μB/atom: 0.4820

=====

DFT (PBEsol) results for crystalline Sr2LaCu2HgO6 at its relaxed geometry.

```
Sr2LaCu2HgO6
1.0
-3.521 -0.017 -1.577
1.083 -2.830 -2.387
-3.606 -8.245 8.140
Cu O Sr Hg La
2 6 2 1 1
Direct
0.000 0.000 0.639
0.000 0.000 0.361
0.000 0.000 0.832
0.500 0.000 0.633
0.000 0.500 0.367
0.000 0.000 0.168
0.000 0.500 0.633
0.500 0.000 0.367
0.500 0.500 0.219
0.500 0.500 0.781
0.000 0.000 0.000
0.500 0.500 0.500
```

Values from the calculation:
Uncorrected energy in eV/cell: -72.0
Uncorrected formation energy in eV/f.u.: -22.24
Magnetization in μB/atom: 0.0000

=====

DFT (PBEsol) results for crystalline MnTc5 at its relaxed geometry.

```
MnTc5
1.0
2.693 0.000 0.000
-1.346 4.892 -0.001
0.000 -1.572 6.107
Mn Tc
1 5
Direct
0.999 0.998 0.002
0.393 0.787 0.268
0.055 0.110 0.614
0.663 0.327 0.327
0.339 0.677 0.676
0.717 0.434 0.946
```

Values from the calculation:
Uncorrected energy in eV/cell: -65.8
Formation energy from the elements in kJ/mol of atoms: 4.3
Magnetization in μB/atom: 0.0003

=====

DFT (PBEsol) results for crystalline Ta12MoO33 at its relaxed geometry.

```
Ta12MoO33
1.0
-2.997 2.005 1.287
1.738 -0.920 11.176
7.085 13.156 1.696
O Ta Mo
33 12 1
Direct
0.779 0.845 0.601
0.652 0.192 0.509
0.465 0.470 0.598
0.103 0.520 0.270
0.876 0.342 0.903
0.000 0.000 0.000
0.023 0.125 0.826
0.353 0.808 0.491
0.929 0.630 0.513
0.322 0.682 0.675
0.277 0.425 0.019
0.951 0.754 0.344
0.176 0.900 0.750
0.548 0.669 0.231
0.721 0.575 0.981
0.679 0.318 0.325
0.049 0.246 0.656
0.590 0.951 0.869
0.292 0.565 0.849
0.121 0.658 0.097
0.975 0.875 0.174
0.706 0.435 0.151
0.852 0.221 0.074
0.533 0.530 0.402
0.892 0.480 0.730
0.804 0.976 0.419
0.826 0.100 0.250
0.147 0.779 0.926
0.410 0.049 0.131
0.072 0.370 0.487
0.199 0.024 0.581
0.225 0.155 0.399
0.448 0.331 0.769
0.033 0.716 0.214
0.797 0.378 0.026
0.139 0.188 0.544
0.255 0.857 0.637
0.871 0.812 0.456
0.625 0.473 0.268
0.749 0.143 0.363
0.366 0.527 0.732
0.917 0.047 0.120
0.083 0.953 0.880
0.201 0.622 0.974
0.963 0.284 0.786
0.752 0.500 0.500
```

Values from the calculation:
Uncorrected energy in eV/cell: -463.1
Uncorrected formation energy in eV/f.u.: -127.52
Magnetization in μB/atom: 0.0000

=====

DFT (PBEsol) results for crystalline TlSb3F18 at its relaxed geometry.

```
TlSb3F18
1.0
-2.418 6.251 5.593
4.020 -4.754 7.051
5.001 6.299 -4.878
Sb F Tl
6 36 2
Direct
0.241 0.346 0.983
0.759 0.654 0.017
0.759 0.983 0.637
0.759 0.363 0.346
0.241 0.017 0.363
0.241 0.637 0.654
0.904 0.684 0.889
0.902 0.526 0.384
0.400 0.397 0.864
0.098 0.384 0.858
0.755 0.413 0.865
0.722 0.282 0.123
0.904 0.111 0.796
0.600 0.603 0.136
0.722 0.877 0.159
0.722 0.841 0.718
0.902 0.616 0.142
0.600 0.533 0.397
0.407 0.869 0.238
0.245 0.587 0.135
0.593 0.131 0.762
0.098 0.142 0.526
0.245 0.548 0.413
0.278 0.123 0.841
0.096 0.316 0.111
0.902 0.858 0.474
0.245 0.865 0.452
0.278 0.718 0.877
0.600 0.864 0.467
0.096 0.796 0.684
0.755 0.452 0.587
0.755 0.135 0.548
0.400 0.136 0.533
0.407 0.369 0.131
0.278 0.159 0.282
0.098 0.474 0.616
0.593 0.631 0.869
0.593 0.238 0.369
0.904 0.204 0.316
0.096 0.889 0.204
0.400 0.467 0.603
0.407 0.762 0.631
0.425 0.667 0.333
0.575 0.333 0.667
```

Values from the calculation:
Uncorrected energy in eV/cell: -198.1
Uncorrected formation energy in eV/f.u.: -48.04
Magnetization in μB/atom: 0.0115

=====

DFT (PBEsol) results for crystalline La4ZnAu at its relaxed geometry.

```
La4ZnAu
1.0
6.208 0.000 0.000
3.104 5.376 0.000
3.104 1.792 5.069
Au Zn La
1 1 4
Direct
0.000 0.000 0.000
0.750 0.750 0.750
0.375 0.375 0.875
0.375 0.875 0.375
0.375 0.375 0.375
0.875 0.375 0.375
```

Values from the calculation:
Uncorrected energy in eV/cell: -24.9
Formation energy from the elements in kJ/mol of atoms: 32.6
Magnetization in μB/atom: 0.0000